Compound: CrWF3
Source: the Alexandria database
Functional: GGA+U
Structure: relaxed

Crystal system = cubic
Electronic total energy = -27.561 eV for the cell shown
V = 82.7 Å³ per cell
Space group = No. 221
Total moment = 8.59 μB/f.u.
Relative energy among the computed polymorphs = 0 meV/atom

```
data_CrWF3
_cell_length_a 4.3561
_cell_length_b 4.3561
_cell_length_c 4.3561
_cell_angle_alpha 90.00
_cell_angle_beta 90.00
_cell_angle_gamma 90.00
_space_group_name_H-M_alt 'P 1'
_space_group_IT_number 1
_space_group_name_Hall 'P 1'
loop_
_atom_site_label
_atom_site_fract_x
_atom_site_fract_y
_atom_site_fract_z
F1 0.0000 0.5000 0.0000
F2 0.5000 0.0000 0.0000
F3 0.0000 0.0000 0.5000
Cr1 0.5000 0.5000 0.5000
W1 0.0000 0.0000 0.0000
```